[1]
MnHg2Pb | PBE-GGA | optimized geometry

For the density of states at the Fermi level, the calculation gives 0.411 states/eV per atom. The formation energy is 0.308 eV/atom.

abc: 5.772 5.772 5.772
angles: 135.45 135.45 64.83
Site moments in Bohr magnetons follow the coordinates.
Positions (direct):
Hg 0.000 0.000 0.000  -0.01
Hg 0.500 0.500 0.000  -0.01
Mn 0.250 0.750 0.500  4.01
Pb 0.750 0.250 0.500  -0.07

---

[2]
MnHgPb | PBE-GGA | optimized geometry

For the density of states at the Fermi level, the calculation gives 0.502 states/eV per atom. The offset from the most stable computed form comes out at 0.0 meV per atom. The formation energy is 0.312 eV/atom.

abc: 4.699 4.699 4.699
angles: 60.00 60.00 60.00
Site moments in Bohr magnetons follow the coordinates.
Positions (direct):
Hg 0.500 0.500 0.500  -0.01
Mn 0.750 0.750 0.750  3.67
Pb 0.000 0.000 0.000  -0.12

---

[3]
Mn2HgPb | PBE-GGA | optimized geometry

For the density of states at the Fermi level, the calculation gives 0.884 states/eV per atom. The formation energy is 0.432 eV/atom.

abc: 3.859 3.202 7.178
angles: 63.55 90.00 90.00
Site moments in Bohr magnetons follow the coordinates.
Positions (direct):
Hg 0.500 0.750 0.750  -0.05
Mn 0.000 0.021 0.979  3.70
Mn 0.000 0.479 0.521  3.70
Pb 0.500 0.250 0.250  -0.08

---

[4]
Mn2HgPb | PBE-GGA | optimized geometry

For the density of states at the Fermi level, the calculation gives 0.937 states/eV per atom. The formation energy is 0.445 eV/atom.

abc: 4.867 3.261 5.054
angles: 90.00 90.00 90.00
Site moments in Bohr magnetons follow the coordinates.
Positions (direct):
Hg 0.500 0.625 0.843  -0.04
Mn 0.000 0.125 0.928  3.72
Mn 0.500 0.125 0.310  3.72
Pb 0.000 0.625 0.419  -0.07